{"formula": "ZrPtRh", "functional": "GGA-PBE", "state": "relaxed", "cell": [[4.796, -2.039, 0.000], [4.796, 2.039, 0.000], [-2.116, 0.000, 5.240]], "species": ["Zr", "Zr", "Pt", "Pt", "Rh", "Rh"], "frac_coords": [[0.174, 0.174, 0.129], [0.826, 0.826, 0.871], [0.499, 0.499, 0.751], [0.501, 0.501, 0.249], [0.158, 0.158, 0.607], [0.842, 0.842, 0.393]], "rho_g_cm3": 12.615, "polymorph_energy_mev_per_atom": 136, "sg": "C2/m (12)", "formation_enthalpy_0k_ev_per_atom": -0.74}